Entry 1:
{
  "formula": "AlRu2Au",
  "functional": "PBE",
  "state": "optimized geometry",
  "delta_e_f_ev_per_atom": -0.007,
  "total_magnetization_mub_per_cell": 0.000,
  "dft_energy_ev_per_cell": -25.6,
  "lattice": [[5.155, -0.002, -0.001], [2.336, 4.595, 0.001], [-3.236, -3.127, 2.514]],
  "species": ["Ru", "Ru", "Au", "Al"],
  "frac_coords": [[0.991, 0.991, 0.000], [0.738, 0.238, 0.500], [0.267, 0.767, 0.500], [0.505, 0.505, 0.000]]
}


Entry 2:
{
  "formula": "AlRu2Au",
  "functional": "PBE",
  "state": "optimized geometry",
  "delta_e_f_ev_per_atom": -0.159,
  "total_magnetization_mub_per_cell": 0.000,
  "dft_energy_ev_per_cell": -26.2,
  "lattice": [[2.838, 0.000, 0.000], [0.000, 2.838, 0.000], [0.000, 0.000, 7.432]],
  "species": ["Ru", "Ru", "Au", "Al"],
  "frac_coords": [[0.000, 0.000, 0.027], [0.500, 0.500, 0.251], [0.500, 0.500, 0.740], [0.000, 0.000, 0.483]]
}


Entry 3:
{
  "formula": "AlRu3Au",
  "functional": "PBE",
  "state": "optimized geometry",
  "delta_e_f_ev_per_atom": 2.056,
  "total_magnetization_mub_per_cell": 5.114,
  "dft_energy_ev_per_cell": -24.6,
  "lattice": [[4.845, 0.000, 0.000], [0.000, 4.845, 0.000], [0.000, 0.000, 4.845]],
  "species": ["Ru", "Ru", "Ru", "Au", "Al"],
  "frac_coords": [[0.000, 0.500, 0.000], [0.000, 0.000, 0.500], [0.500, 0.000, 0.000], [0.000, 0.000, 0.000], [0.500, 0.500, 0.500]]
}


Entry 4:
{
  "formula": "Al5Ru4Au",
  "functional": "PBE",
  "state": "optimized geometry",
  "delta_e_f_ev_per_atom": -0.642,
  "total_magnetization_mub_per_cell": 0.000,
  "dft_energy_ev_per_cell": -65.5,
  "lattice": [[-1.933, -0.600, -2.302], [-2.062, -1.056, 2.007], [-5.789, 13.738, 1.282]],
  "species": ["Al", "Al", "Al", "Al", "Al", "Ru", "Ru", "Ru", "Ru", "Au"],
  "frac_coords": [[0.500, 0.500, 0.116], [0.500, 0.500, 0.304], [0.500, 0.500, 0.500], [0.500, 0.500, 0.696], [0.500, 0.500, 0.884], [0.000, 0.000, 0.201], [0.000, 0.000, 0.401], [0.000, 0.000, 0.599], [0.000, 0.000, 0.799], [0.000, 0.000, 0.000]]
}


Entry 5:
{
  "formula": "AlRuAu",
  "functional": "PBE",
  "state": "optimized geometry",
  "delta_e_f_ev_per_atom": -0.024,
  "total_magnetization_mub_per_cell": 0.000,
  "dft_energy_ev_per_cell": -16.4,
  "lattice": [[-3.723, 0.003, -5.655], [-5.381, -0.994, -3.615], [-0.596, 2.691, -0.555]],
  "species": ["Ru", "Au", "Al"],
  "frac_coords": [[0.652, 0.652, 0.348], [0.340, 0.340, 0.660], [0.008, 0.008, 0.992]]
}


Entry 6:
{
  "formula": "AlRuAu2",
  "functional": "PBE",
  "state": "optimized geometry",
  "delta_e_f_ev_per_atom": 0.187,
  "total_magnetization_mub_per_cell": 1.537,
  "dft_energy_ev_per_cell": -37.6,
  "lattice": [[3.782, 0.000, 0.000], [0.000, 3.782, 0.000], [1.891, 1.891, 9.791]],
  "species": ["Ru", "Ru", "Au", "Au", "Au", "Au", "Al", "Al"],
  "frac_coords": [[0.000, 0.000, 0.000], [0.750, 0.250, 0.500], [0.625, 0.125, 0.250], [0.125, 0.625, 0.250], [0.375, 0.375, 0.750], [0.875, 0.875, 0.750], [0.500, 0.500, 0.000], [0.250, 0.750, 0.500]]
}


Calculated values (states/eV per atom) of DOS(E_F) for the records, taken in order: 0.98 0.73 1.18 0.85 0.78 0.52.